(1)
## YOsBr2 (PBE)

Data for YOsBr2 after structural relaxation.

a b c (Å): 3.320 3.320 9.104
angles (deg): 90.00 90.00 90.00
Space group P4mm (No. 99)
Symmetry-distinct sites (fractional):
Y 0.000 0.000 0.000 (multiplicity 1)
Os 0.500 0.500 0.791 (multiplicity 1)
Br 0.000 0.000 0.615 (multiplicity 1)
Br 0.500 0.500 0.213 (multiplicity 1)

Calculated values
Volume = 25.1 A^3/atom
Electronic total energy = -5.38 eV per atom
Formation energy from raw total energies = -11.78 kJ per mole of atoms
Relative energy among the computed polymorphs = 166 meV per atom

---

(2)
## Y2OsBr (PBE)

Data for Y2OsBr after structural relaxation.

a b c (Å): 7.071 7.071 7.071
angles (deg): 90.00 90.00 90.00
Space group F-43m (No. 216)
Symmetry-distinct sites (fractional):
Y 0.000 0.000 0.000 (multiplicity 4)
Y 0.250 0.250 0.250 (multiplicity 4)
Os 0.250 0.250 0.750 (multiplicity 4)
Br 0.000 0.000 0.500 (multiplicity 4)

Calculated values
Volume = 22.1 A^3/atom
Electronic total energy = -6.05 eV per atom
Formation energy from raw total energies = 39.57 kJ per mole of atoms
Relative energy among the computed polymorphs = 1130 meV per atom

---

(3)
## YOsBr2 (PBE)

Data for YOsBr2 after structural relaxation.

a b c (Å): 3.752 4.415 13.883
angles (deg): 90.00 90.00 90.00
Space group Immm (No. 71)
Symmetry-distinct sites (fractional):
Y 0.000 0.000 0.000 (multiplicity 2)
Os 0.000 0.000 0.500 (multiplicity 2)
Br 0.000 0.500 0.141 (multiplicity 4)

Calculated values
Volume = 28.7 A^3/atom
Electronic total energy = -5.44 eV per atom
Formation energy from raw total energies = -17.46 kJ per mole of atoms
Relative energy among the computed polymorphs = 107 meV per atom

---

(4)
## YOsBr2 (PBE)

Data for YOsBr2 after structural relaxation.

a b c (Å): 3.710 3.892 7.274
angles (deg): 90.00 90.00 90.00
Space group Pmm2 (No. 25)
Symmetry-distinct sites (fractional):
Y 0.000 0.000 0.000 (multiplicity 1)
Os 0.500 0.500 0.857 (multiplicity 1)
Br 0.000 0.000 0.608 (multiplicity 1)
Br 0.500 0.500 0.205 (multiplicity 1)

Calculated values
Volume = 26.3 A^3/atom
Electronic total energy = -5.33 eV per atom
Formation energy from raw total energies = -6.41 kJ per mole of atoms
Relative energy among the computed polymorphs = 222 meV per atom

---

(5)
## YOsBr2 (PBE)

Data for YOsBr2 after structural relaxation.

a b c (Å): 3.298 3.298 10.311
angles (deg): 90.00 90.00 90.00
Space group P4/mmm (No. 123)
Symmetry-distinct sites (fractional):
Y 0.000 0.000 0.000 (multiplicity 1)
Os 0.000 0.000 0.500 (multiplicity 1)
Br 0.500 0.500 0.172 (multiplicity 2)

Calculated values
Volume = 28.0 A^3/atom
Electronic total energy = -4.83 eV per atom
Formation energy from raw total energies = 41.74 kJ per mole of atoms
Relative energy among the computed polymorphs = 721 meV per atom

---

(6)
## YOsBr2 (PBE)

Data for YOsBr2 after structural relaxation.

a b c (Å): 4.612 4.612 8.451
angles (deg): 90.00 90.00 90.00
Space group I4/mmm (No. 139)
Symmetry-distinct sites (fractional):
Y 0.000 0.000 0.000 (multiplicity 2)
Os 0.000 0.000 0.500 (multiplicity 2)
Br 0.000 0.500 0.250 (multiplicity 4)

Calculated values
Volume = 22.5 A^3/atom
Electronic total energy = -4.94 eV per atom
Formation energy from raw total energies = 31.28 kJ per mole of atoms
Relative energy among the computed polymorphs = 612 meV per atom

---

(7)
## Y2OsBr (PBE)

Data for Y2OsBr after structural relaxation.

a b c (Å): 4.633 5.479 7.171
angles (deg): 90.00 90.00 90.00
Space group Immm (No. 71)
Symmetry-distinct sites (fractional):
Y 0.000 0.000 0.242 (multiplicity 4)
Os 0.000 0.500 0.500 (multiplicity 2)
Br 0.000 0.500 0.000 (multiplicity 2)

Calculated values
Volume = 22.8 A^3/atom
Electronic total energy = -6.67 eV per atom
Formation energy from raw total energies = -20.85 kJ per mole of atoms
Relative energy among the computed polymorphs = 504 meV per atom

---

(8)
## Y2OsBr (PBE)

Data for Y2OsBr after structural relaxation.

a b c (Å): 4.059 4.059 10.983
angles (deg): 90.00 90.00 90.00
Space group I-4m2 (No. 119)
Symmetry-distinct sites (fractional):
Y 0.000 0.000 0.000 (multiplicity 2)
Y 0.000 0.500 0.250 (multiplicity 2)
Os 0.000 0.000 0.500 (multiplicity 2)
Br 0.000 0.500 0.750 (multiplicity 2)

Calculated values
Volume = 22.6 A^3/atom
Electronic total energy = -6.52 eV per atom
Formation energy from raw total energies = -5.97 kJ per mole of atoms
Relative energy among the computed polymorphs = 658 meV per atom